A PBEsol-optimized structure of Tm3TaO7, computed with meta-GGA SCAN.

Properties
Raw formation energy in meV/atom: -3739
N(E_F) in states/eV per cell: 0.0

CIF file:
```
data_Tm3TaO7
_cell_length_a 10.350
_cell_length_b 7.166
_cell_length_c 7.344
_cell_angle_alpha 90.00
_cell_angle_beta 90.00
_cell_angle_gamma 90.00
_symmetry_space_group_name_H-M 'C m c m'
_symmetry_Int_Tables_number 63
_symmetry_space_group_name_Hall '-C 2c 2'
loop_
_atom_site_label
_atom_site_type_symbol
_atom_site_fract_x
_atom_site_fract_y
_atom_site_fract_z
_atom_site_occupancy
Tm1 Tm 0.000 0.000 0.000 1
Tm2 Tm 0.229 0.288 0.250 1
Ta1 Ta 0.000 0.500 0.000 1
O1 O 0.000 0.411 0.250 1
O2 O 0.131 0.304 0.538 1
O3 O 0.132 0.022 0.250 1
```